The following is a GGA-PBE calculation of a relaxed ErUS2N crystal, from the Alexandria database.

Summary:
* raw formation energy: -1.759 eV/atom
* E_tot: -8.245 eV/atom

Cell and atoms, written as CIF:
```
data_ErUS2N
_chemical_formula_sum 'Er2 U2 S4 N2'
_cell_length_a 3.799
_cell_length_b 3.799
_cell_length_c 13.712
_cell_angle_alpha 90.00
_cell_angle_beta 90.00
_cell_angle_gamma 90.00
_symmetry_space_group_name_H-M 'P 4/n m m'
_symmetry_Int_Tables_number 129
loop_
_symmetry_equiv_pos_as_xyz
'x,y,z'
'-x,-y,-z'
'-y+1/2,x,z'
'y+1/2,-x,-z'
'-x+1/2,-y+1/2,z'
'x+1/2,y+1/2,-z'
'y,-x+1/2,z'
'-y,x+1/2,-z'
'x+1/2,-y,-z'
'-x+1/2,y,z'
'-y,-x,-z'
'y,x,z'
'-x,y+1/2,-z'
'x,-y+1/2,z'
'y+1/2,x+1/2,-z'
'-y+1/2,-x+1/2,z'
loop_
_atom_site_label
_atom_site_type_symbol
_atom_site_fract_x
_atom_site_fract_y
_atom_site_fract_z
_atom_site_occupancy
Er1 Er 0.250 0.250 0.118 1
U1 U 0.250 0.250 0.587 1
S1 S 0.250 0.250 0.307 1
S2 S 0.250 0.250 0.908 1
N1 N 0.250 0.750 0.500 1
```

The following is a GGA-PBE calculation of a relaxed Rb2HfZnF6 crystal, from the Alexandria database.

Summary:
* raw formation energy: -2.935 eV/atom
* E_tot: -5.374 eV/atom

Cell and atoms, written as CIF:
```
data_Rb2HfZnF6
_chemical_formula_sum 'Rb8 Hf4 Zn4 F24'
_cell_length_a 9.733
_cell_length_b 9.733
_cell_length_c 9.733
_cell_angle_alpha 90.00
_cell_angle_beta 90.00
_cell_angle_gamma 90.00
_symmetry_space_group_name_H-M 'F m -3 m'
_symmetry_Int_Tables_number 225
_symmetry_space_group_name_Hall '-F 4 2 3'
loop_
_atom_site_label
_atom_site_type_symbol
_atom_site_fract_x
_atom_site_fract_y
_atom_site_fract_z
_atom_site_occupancy
Rb1 Rb 0.250 0.250 0.250 1
Hf1 Hf 0.000 0.000 0.000 1
Zn1 Zn 0.000 0.000 0.500 1
F1 F 0.000 0.000 0.206 1
```

The following is a GGA-PBE calculation of a relaxed Er3Tm3Tl2In crystal, from the Alexandria database.

Summary:
* ΔE_f: -2.27 eV per formula unit
* E_tot: -4.093 eV/atom

Cell and atoms, written as CIF:
```
data_Er3Tm3Tl2In
_chemical_formula_sum 'Er3 Tm3 Tl2 In1'
_cell_length_a 8.8223
_cell_length_b 8.8223
_cell_length_c 3.7418
_cell_angle_alpha 90.00
_cell_angle_beta 90.00
_cell_angle_gamma 120.00
_symmetry_space_group_name_H-M 'P -6 2 m'
_symmetry_Int_Tables_number 189
_symmetry_space_group_name_Hall 'P -6 -2'
loop_
_atom_site_label
_atom_site_type_symbol
_atom_site_fract_x
_atom_site_fract_y
_atom_site_fract_z
_atom_site_occupancy
Er1 Er 0.0000 0.7119 0.0000 1
Tm1 Tm 0.0000 0.3778 0.5000 1
Tl1 Tl 0.3333 0.6667 0.0000 1
In1 In 0.0000 0.0000 0.5000 1
```

The following is a GGA-PBE calculation of a relaxed CoMoS crystal, from the Alexandria database.

Summary:
* raw formation energy: 0.295 eV/atom
* E_tot: -7.060 eV/atom

Cell and atoms, written as CIF:
```
data_CoMoS
_chemical_formula_sum 'Co4 Mo4 S4'
_cell_length_a 2.828
_cell_length_b 10.636
_cell_length_c 10.161
_cell_angle_alpha 90.00
_cell_angle_beta 92.63
_cell_angle_gamma 90.00
_symmetry_space_group_name_H-M 'C 1 2/m 1'
_symmetry_Int_Tables_number 12
loop_
_symmetry_equiv_pos_as_xyz
'x,y,z'
'-x,-y,-z'
'-x,y,-z'
'x,-y,z'
'x+1/2,y+1/2,z'
'-x+1/2,-y+1/2,-z'
'-x+1/2,y+1/2,-z'
'x+1/2,-y+1/2,z'
loop_
_atom_site_label
_atom_site_type_symbol
_atom_site_fract_x
_atom_site_fract_y
_atom_site_fract_z
_atom_site_occupancy
Co1 Co 0.000 0.162 0.000 1
Mo1 Mo 0.220 0.500 0.132 1
S1 S 0.239 0.000 0.312 1
```

The following is a GGA-PBE calculation of a relaxed ScCd2Cl crystal, from the Alexandria database.

Summary:
* raw formation energy: -0.504 eV/atom
* relative energy among the computed polymorphs: 0.087 eV per atom
* E_tot: -3.006 eV/atom

Cell and atoms, written as CIF:
```
data_ScCd2Cl
_chemical_formula_sum 'Sc2 Cd4 Cl2'
_cell_length_a 3.128
_cell_length_b 4.285
_cell_length_c 14.180
_cell_angle_alpha 90.00
_cell_angle_beta 90.00
_cell_angle_gamma 90.00
_symmetry_space_group_name_H-M 'I m m m'
_symmetry_Int_Tables_number 71
_symmetry_space_group_name_Hall '-I 2 2'
loop_
_atom_site_label
_atom_site_type_symbol
_atom_site_fract_x
_atom_site_fract_y
_atom_site_fract_z
_atom_site_occupancy
Sc1 Sc 0.000 0.000 0.000 1
Cd1 Cd 0.000 0.500 0.304 1
Cl1 Cl 0.000 0.000 0.500 1
```

The following is a GGA-PBE calculation of a relaxed CsZn2W2 crystal, from the Alexandria database.

Summary:
* ΔE_f: 6.79 eV per formula unit
* E_tot: -4.503 eV/atom

Cell and atoms, written as CIF:
```
data_CsZn2W2
_chemical_formula_sum 'Cs2 Zn4 W4'
_cell_length_a 5.209
_cell_length_b 5.209
_cell_length_c 8.759
_cell_angle_alpha 90.00
_cell_angle_beta 90.00
_cell_angle_gamma 90.00
_symmetry_space_group_name_H-M 'I 4/m m m'
_symmetry_Int_Tables_number 139
_symmetry_space_group_name_Hall '-I 4 2'
loop_
_atom_site_label
_atom_site_type_symbol
_atom_site_fract_x
_atom_site_fract_y
_atom_site_fract_z
_atom_site_occupancy
Cs1 Cs 0.000 0.000 0.000 1
Zn1 Zn 0.000 0.500 0.250 1
W1 W 0.000 0.000 0.370 1
```

The following is a GGA-PBE calculation of a relaxed Pm3Pr crystal, from the Alexandria database.

Summary:
* ΔE_f: 0.14 eV per formula unit
* relative energy among the computed polymorphs: 0.021 eV per atom
* E_tot: -4.724 eV/atom

Cell and atoms, written as CIF:
```
data_Pm3Pr
_chemical_formula_sum 'Pm3 Pr1'
_cell_length_a 3.689
_cell_length_b 5.951
_cell_length_c 6.400
_cell_angle_alpha 90.00
_cell_angle_beta 90.00
_cell_angle_gamma 90.00
_symmetry_space_group_name_H-M 'P m m 2'
_symmetry_Int_Tables_number 25
loop_
_symmetry_equiv_pos_as_xyz
'x,y,z'
'-x,-y,z'
'-x,y,z'
'x,-y,z'
loop_
_atom_site_label
_atom_site_type_symbol
_atom_site_fract_x
_atom_site_fract_y
_atom_site_fract_z
_atom_site_occupancy
Pm1 Pm 0.000 0.000 0.000 1
Pm2 Pm 0.000 0.500 0.331 1
Pm3 Pm 0.500 0.000 0.500 1
Pr1 Pr 0.500 0.500 0.831 1
```

The following is a GGA-PBE calculation of a relaxed Er2ZnTe crystal, from the Alexandria database.

Summary:
* raw formation energy: -0.796 eV/atom
* relative energy among the computed polymorphs: 0.000 eV per atom
* E_tot: -4.181 eV/atom

Cell and atoms, written as CIF:
```
data_Er2ZnTe
_chemical_formula_sum 'Er8 Zn4 Te4'
_cell_length_a 4.206
_cell_length_b 23.305
_cell_length_c 4.233
_cell_angle_alpha 90.00
_cell_angle_beta 90.00
_cell_angle_gamma 90.00
_symmetry_space_group_name_H-M 'C m c m'
_symmetry_Int_Tables_number 63
_symmetry_space_group_name_Hall '-C 2c 2'
loop_
_atom_site_label
_atom_site_type_symbol
_atom_site_fract_x
_atom_site_fract_y
_atom_site_fract_z
_atom_site_occupancy
Er1 Er 0.000 0.062 0.250 1
Er2 Er 0.000 0.334 0.250 1
Zn1 Zn 0.000 0.462 0.250 1
Te1 Te 0.000 0.196 0.250 1
```

The following is a GGA-PBE calculation of a relaxed NaBPb crystal, from the Alexandria database.

Summary:
* ΔE_f: 2.62 eV per formula unit
* E_tot: -3.029 eV/atom

Cell and atoms, written as CIF:
```
data_NaBPb
_chemical_formula_sum 'Na4 B4 Pb4'
_cell_length_a 7.661
_cell_length_b 10.398
_cell_length_c 3.469
_cell_angle_alpha 90.00
_cell_angle_beta 90.00
_cell_angle_gamma 90.00
_symmetry_space_group_name_H-M 'C m m e'
_symmetry_Int_Tables_number 67
_symmetry_space_group_name_Hall '-C 2a 2'
loop_
_atom_site_label
_atom_site_type_symbol
_atom_site_fract_x
_atom_site_fract_y
_atom_site_fract_z
_atom_site_occupancy
Na1 Na 0.250 0.000 0.000 1
B1 B 0.250 0.250 0.500 1
Pb1 Pb 0.000 0.250 0.002 1
```

The following is a GGA-PBE calculation of a relaxed HfWC2 crystal, from the Alexandria database.

Summary:
* ΔE_f: 2.20 eV per formula unit
* relative energy among the computed polymorphs: 0.988 eV per atom
* E_tot: -9.788 eV/atom

Cell and atoms, written as CIF:
```
data_HfWC2
_chemical_formula_sum 'Hf4 W4 C8'
_cell_length_a 5.613
_cell_length_b 5.613
_cell_length_c 5.613
_cell_angle_alpha 90.00
_cell_angle_beta 90.00
_cell_angle_gamma 90.00
_symmetry_space_group_name_H-M 'F m -3 m'
_symmetry_Int_Tables_number 225
_symmetry_space_group_name_Hall '-F 4 2 3'
loop_
_atom_site_label
_atom_site_type_symbol
_atom_site_fract_x
_atom_site_fract_y
_atom_site_fract_z
_atom_site_occupancy
Hf1 Hf 0.000 0.000 0.000 1
W1 W 0.000 0.000 0.500 1
C1 C 0.250 0.250 0.250 1
```

The following is a GGA-PBE calculation of a relaxed CdAu crystal, from the Alexandria database.

Summary:
* ΔE_f: -0.23 eV per formula unit
* E_tot: -2.210 eV/atom

Cell and atoms, written as CIF:
```
data_CdAu
_chemical_formula_sum 'Cd2 Au2'
_cell_length_a 3.717
_cell_length_b 3.717
_cell_length_c 5.810
_cell_angle_alpha 90.00
_cell_angle_beta 90.00
_cell_angle_gamma 90.00
_symmetry_space_group_name_H-M 'P 4/n m m'
_symmetry_Int_Tables_number 129
loop_
_symmetry_equiv_pos_as_xyz
'x,y,z'
'-x,-y,-z'
'-y+1/2,x,z'
'y+1/2,-x,-z'
'-x+1/2,-y+1/2,z'
'x+1/2,y+1/2,-z'
'y,-x+1/2,z'
'-y,x+1/2,-z'
'x+1/2,-y,-z'
'-x+1/2,y,z'
'-y,-x,-z'
'y,x,z'
'-x,y+1/2,-z'
'x,-y+1/2,z'
'y+1/2,x+1/2,-z'
'-y+1/2,-x+1/2,z'
loop_
_atom_site_label
_atom_site_type_symbol
_atom_site_fract_x
_atom_site_fract_y
_atom_site_fract_z
_atom_site_occupancy
Cd1 Cd 0.250 0.250 0.145 1
Au1 Au 0.250 0.250 0.639 1
```

The following is a GGA-PBE calculation of a relaxed Nd5Dy6Er crystal, from the Alexandria database.

Summary:
* ΔE_f: 0.17 eV per formula unit
* relative energy among the computed polymorphs: 0.000 eV per atom
* E_tot: -4.654 eV/atom

Cell and atoms, written as CIF:
```
data_Nd5Dy6Er
_chemical_formula_sum 'Nd10 Dy12 Er2'
_cell_length_a 6.238
_cell_length_b 10.800
_cell_length_c 11.870
_cell_angle_alpha 90.00
_cell_angle_beta 100.04
_cell_angle_gamma 90.00
_symmetry_space_group_name_H-M 'C 1 2/m 1'
_symmetry_Int_Tables_number 12
loop_
_symmetry_equiv_pos_as_xyz
'x,y,z'
'-x,-y,-z'
'-x,y,-z'
'x,-y,z'
'x+1/2,y+1/2,z'
'-x+1/2,-y+1/2,-z'
'-x+1/2,y+1/2,-z'
'x+1/2,-y+1/2,z'
loop_
_atom_site_label
_atom_site_type_symbol
_atom_site_fract_x
_atom_site_fract_y
_atom_site_fract_z
_atom_site_occupancy
Nd1 Nd 0.000 0.000 0.000 1
Nd2 Nd 0.000 0.166 0.500 1
Nd3 Nd 0.000 0.333 0.000 1
Dy1 Dy 0.249 0.500 0.251 1
Dy2 Dy 0.250 0.166 0.251 1
Er1 Er 0.000 0.500 0.500 1
```

Ordered magnetic moment results: 3.4 0.0 1.4 0.0 0.0 0.0 0.0 0.0 0.0 0.0 0.0 0.0; unit Bohr magnetons per cell.